ScAgBi2 | the Alexandria database | PBE-GGA | relaxed; E_form = -0.0715 eV per atom; spin magnetization = 0.0 μB per cell; crystal system = tetragonal; space-group type = No. 122
1.0
-0.6763 -5.9702 5.4518
7.9673 0.4375 1.4675
3.0906 -0.5548 5.8126
Sc Bi Ag
2 4 2
Direct
0.2500 0.7500 0.5000 Sc
0.5000 0.5000 0.0000 Sc
0.6439 0.1250 0.2500 Bi
0.1061 0.6250 0.2500 Bi
0.3750 0.3561 0.7500 Bi
0.8750 0.8939 0.7500 Bi
0.0000 0.0000 0.0000 Ag
0.7500 0.2500 0.5000 Ag